## LaCd3Pt (PBE-GGA)

Data for LaCd3Pt after structural relaxation.

The value obtained for the size of the total moment is 0.0 Bohr magnetons per cell. Its energy above the lowest structure with this stoichiometry is 1837 meV per atom. The calculation puts the volume at 211.1 Å³/cell.

The space group is Pm-3m (No. 221) and the conventional cell measures 5.954, 5.954 and 5.954 Å, with angles of 90.00, 90.00 and 90.00 degrees. Symmetry generates all atoms from La at (0.000, 0.000, 0.000), Cd at (0.000, 0.000, 0.500) and Pt at (0.500, 0.500, 0.500).

=====

## LaCd2Pt2 (PBE-GGA)

Data for LaCd2Pt2 after structural relaxation.

The value obtained for the size of the total moment is 0.0 Bohr magnetons per cell. Its energy above the lowest structure with this stoichiometry is 187 meV per atom. The calculation puts the volume at 222.2 Å³/cell.

The space group is P4/mbm (No. 127) and the conventional cell measures 7.473, 7.473 and 3.980 Å, with angles of 90.00, 90.00 and 90.00 degrees. Symmetry generates all atoms from La at (0.000, 0.000, 0.000), Cd at (0.156, 0.344, 0.500) and Pt at (0.133, 0.633, 0.000).

=====

## La3Cd7Pt4 (PBE-GGA)

Data for La3Cd7Pt4 after structural relaxation.

The total energy comes out at -108.41 eV/cell. The value obtained for the size of the total moment is 0.0 Bohr magnetons per cell. The calculation puts the volume at 651.5 Å³/cell.

The space group is C2/m (No. 12) and the conventional cell measures 16.807, 4.249 and 10.978 Å, with angles of 90.00, 123.80 and 90.00 degrees. Symmetry generates all atoms from La at (0.000, 0.000, 0.000), La at (0.202, 0.500, 0.719), Cd at (0.000, 0.000, 0.500), Cd at (0.018, 0.500, 0.312), Cd at (0.169, 0.000, 0.439), Cd at (0.174, 0.500, 0.005), Pt at (0.115, 0.000, 0.808) and Pt at (0.151, 0.500, 0.236).

=====

## La2CdPt (PBE-GGA)

Data for La2CdPt after structural relaxation.

The total energy comes out at -19.38 eV/cell. The value obtained for the size of the total moment is 0.0 Bohr magnetons per cell. The calculation puts the volume at 108.1 Å³/cell.

The space group is P4/mmm (No. 123) and the conventional cell measures 5.295, 5.295 and 3.857 Å, with angles of 90.00, 90.00 and 90.00 degrees. Symmetry generates all atoms from La at (0.000, 0.500, 0.000), Cd at (0.000, 0.000, 0.500) and Pt at (0.500, 0.500, 0.500).

=====

## La2CdPt (PBE-GGA)

Data for La2CdPt after structural relaxation.

The total energy comes out at -39.36 eV/cell. The value obtained for the size of the total moment is 0.0 Bohr magnetons per cell. The calculation puts the volume at 218.9 Å³/cell.

The space group is Pmma (No. 51) and the conventional cell measures 7.484, 3.777 and 7.743 Å, with angles of 90.00, 90.00 and 90.00 degrees. Symmetry generates all atoms from La at (0.011, 0.000, 0.221), Cd at (0.250, 0.500, 0.518) and Pt at (0.250, 0.500, 0.957).

=====

## La2CdPt (PBE-GGA)

Data for La2CdPt after structural relaxation.

The total energy comes out at -77.97 eV/cell. The value obtained for the size of the total moment is 0.0 Bohr magnetons per cell. The calculation puts the volume at 497.6 Å³/cell.

The space group is C2/m (No. 12) and the conventional cell measures 14.003, 5.633 and 6.568 Å, with angles of 90.00, 106.14 and 90.00 degrees. Symmetry generates all atoms from La at (0.074, 0.000, 0.293), La at (0.158, 0.500, 0.816), Cd at (0.212, 0.500, 0.350) and Pt at (0.136, 0.000, 0.882).

=====

## LaCd2Pt2 (PBE-GGA)

Data for LaCd2Pt2 after structural relaxation.

The value obtained for the size of the total moment is 0.0 Bohr magnetons per cell. Its energy above the lowest structure with this stoichiometry is 221 meV per atom. The calculation puts the volume at 206.9 Å³/cell.

The space group is P4/mbm (No. 127) and the conventional cell measures 8.238, 8.238 and 3.049 Å, with angles of 90.00, 90.00 and 90.00 degrees. Symmetry generates all atoms from La at (0.000, 0.000, 0.000), Cd at (0.120, 0.380, 0.000) and Pt at (0.179, 0.679, 0.500).

=====

## LaCd2Pt2 (PBE-GGA)

Data for LaCd2Pt2 after structural relaxation.

The value obtained for the size of the total moment is 0.0 Bohr magnetons per cell. Its energy above the lowest structure with this stoichiometry is 0 meV per atom. The calculation puts the volume at 224.4 Å³/cell.

The space group is I4/mmm (No. 139) and the conventional cell measures 4.125, 4.125 and 13.188 Å, with angles of 90.00, 90.00 and 90.00 degrees. Symmetry generates all atoms from La at (0.000, 0.000, 0.000), Cd at (0.000, 0.500, 0.250) and Pt at (0.000, 0.000, 0.399).

=====

## LaCdPt2 (PBE-GGA)

Data for LaCdPt2 after structural relaxation.

The total energy comes out at -77.23 eV/cell. The value obtained for the size of the total moment is 0.0 Bohr magnetons per cell. The calculation puts the volume at 409.8 Å³/cell.

The space group is I-42d (No. 122) and the conventional cell measures 4.772, 4.772 and 17.995 Å, with angles of 90.00, 90.00 and 90.00 degrees. Symmetry generates all atoms from La at (0.000, 0.000, 0.000), Cd at (0.000, 0.000, 0.500) and Pt at (0.143, 0.250, 0.625).

=====

## LaCdPt2 (PBE-GGA)

Data for LaCdPt2 after structural relaxation.

The total energy comes out at -85.16 eV/cell. The value obtained for the size of the total moment is 0.0 Bohr magnetons per cell. The calculation puts the volume at 350.8 Å³/cell.

The space group is Pnma (No. 62) and the conventional cell measures 7.609, 4.331 and 10.645 Å, with angles of 90.00, 90.00 and 90.00 degrees. Symmetry generates all atoms from La at (0.191, 0.250, 0.170), Cd at (0.044, 0.750, 0.403), Pt at (0.083, 0.250, 0.838) and Pt at (0.220, 0.750, 0.964).

=====

## LaCdPt2 (PBE-GGA)

Data for LaCdPt2 after structural relaxation.

The total energy comes out at -20.73 eV/cell. The value obtained for the size of the total moment is 0.0 Bohr magnetons per cell. The calculation puts the volume at 84.8 Å³/cell.

The space group is Pmmm (No. 47) and the conventional cell measures 3.472, 3.622 and 6.744 Å, with angles of 90.00, 90.00 and 90.00 degrees. Symmetry generates all atoms from La at (0.000, 0.000, 0.000), Cd at (0.000, 0.000, 0.500) and Pt at (0.500, 0.500, 0.280).

=====

## La2CdPt (PBE-GGA)

Data for La2CdPt after structural relaxation.

The total energy comes out at -38.98 eV/cell. The value obtained for the size of the total moment is 0.0 Bohr magnetons per cell. The calculation puts the volume at 232.0 Å³/cell.

The space group is Amm2 (No. 38) and the conventional cell measures 4.179, 4.325 and 12.835 Å, with angles of 90.00, 90.00 and 90.00 degrees. Symmetry generates all atoms from La at (0.000, 0.000, 0.000), La at (0.500, 0.000, 0.294), Cd at (0.500, 0.000, 0.596) and Pt at (0.000, 0.000, 0.763).